(1)
First-principles (GGA-PBE) data for a geometry-optimized TlCd2In3Hg3 structure, as listed in Alexandria.

Geometry as CIF:
```
data_TlCd2In3Hg3
_chemical_formula_sum 'Tl1 Cd2 In3 Hg3'
_cell_length_a 9.072
_cell_length_b 9.072
_cell_length_c 3.381
_cell_angle_alpha 90.00
_cell_angle_beta 90.00
_cell_angle_gamma 120.00
_space_group_name_H-M_alt 'P 1'
_space_group_IT_number 1
_space_group_name_Hall 'P 1'
loop_
_atom_site_label
_atom_site_type_symbol
_atom_site_fract_x
_atom_site_fract_y
_atom_site_fract_z
_atom_site_occupancy
Tl1 Tl 0.000 0.000 0.000 1
Cd1 Cd 0.333 0.667 0.500 1
Cd2 Cd 0.667 0.333 0.500 1
In1 In 0.000 0.685 0.500 1
In2 In 0.315 0.315 0.500 1
In3 In 0.685 0.000 0.500 1
Hg1 Hg 0.000 0.371 0.000 1
Hg2 Hg 0.371 0.000 0.000 1
Hg3 Hg 0.629 0.629 0.000 1
```

Values from the calculation:
- Calculated formation energy: 46.4 meV/atom
- Total moment: 0.00 μB/cell

(2)
First-principles (GGA-PBE) data for a geometry-optimized NiWBr structure, as listed in Alexandria.

Geometry as CIF:
```
data_NiWBr
_chemical_formula_sum 'Ni1 W1 Br1'
_cell_length_a 4.112
_cell_length_b 4.112
_cell_length_c 4.112
_cell_angle_alpha 60.00
_cell_angle_beta 60.00
_cell_angle_gamma 60.00
_space_group_name_H-M_alt 'P 1'
_space_group_IT_number 1
_space_group_name_Hall 'P 1'
loop_
_atom_site_label
_atom_site_type_symbol
_atom_site_fract_x
_atom_site_fract_y
_atom_site_fract_z
_atom_site_occupancy
Ni1 Ni 0.000 0.000 0.000 1
W1 W 0.500 0.500 0.500 1
Br1 Br 0.250 0.250 0.250 1
```

Values from the calculation:
- Relative energy among the computed polymorphs: 885 meV per atom
- Total moment: 0.00 μB/cell
- Formation energy from raw total energies: 33.84 kcal/mol of atoms

(3)
First-principles (GGA-PBE) data for a geometry-optimized CePm4Tl7 structure, as listed in Alexandria.

Geometry as CIF:
```
data_CePm4Tl7
_chemical_formula_sum 'Ce1 Pm4 Tl7'
_cell_length_a 7.311
_cell_length_b 7.311
_cell_length_c 11.837
_cell_angle_alpha 120.72
_cell_angle_beta 120.72
_cell_angle_gamma 46.98
_space_group_name_H-M_alt 'P 1'
_space_group_IT_number 1
_space_group_name_Hall 'P 1'
loop_
_atom_site_label
_atom_site_type_symbol
_atom_site_fract_x
_atom_site_fract_y
_atom_site_fract_z
_atom_site_occupancy
Ce1 Ce 0.000 0.000 0.000 1
Pm1 Pm 0.272 0.272 0.667 1
Pm2 Pm 0.412 0.412 0.218 1
Pm3 Pm 0.588 0.588 0.782 1
Pm4 Pm 0.728 0.728 0.333 1
Tl1 Tl 0.080 0.080 0.321 1
Tl2 Tl 0.216 0.216 0.899 1
Tl3 Tl 0.368 0.368 0.461 1
Tl4 Tl 0.500 0.500 0.000 1
Tl5 Tl 0.632 0.632 0.539 1
Tl6 Tl 0.784 0.784 0.101 1
Tl7 Tl 0.920 0.920 0.679 1
```

Values from the calculation:
- Calculated formation energy: -126.4 meV/atom
- Total moment: 1.11 μB/cell

(4)
First-principles (GGA-PBE) data for a geometry-optimized La12Y6Th structure, as listed in Alexandria.

Geometry as CIF:
```
data_La12Y6Th
_chemical_formula_sum 'La12 Y6 Th1'
_cell_length_a 9.750
_cell_length_b 9.750
_cell_length_c 9.750
_cell_angle_alpha 110.97
_cell_angle_beta 110.97
_cell_angle_gamma 110.97
_space_group_name_H-M_alt 'P 1'
_space_group_IT_number 1
_space_group_name_Hall 'P 1'
loop_
_atom_site_label
_atom_site_type_symbol
_atom_site_fract_x
_atom_site_fract_y
_atom_site_fract_z
_atom_site_occupancy
La1 La 0.055 0.581 0.372 1
La2 La 0.102 0.156 0.741 1
La3 La 0.156 0.741 0.102 1
La4 La 0.259 0.898 0.844 1
La5 La 0.372 0.055 0.581 1
La6 La 0.419 0.628 0.945 1
La7 La 0.581 0.372 0.055 1
La8 La 0.628 0.945 0.419 1
La9 La 0.741 0.102 0.156 1
La10 La 0.844 0.259 0.898 1
La11 La 0.898 0.844 0.259 1
La12 La 0.945 0.419 0.628 1
Y1 Y 0.212 0.315 0.467 1
Y2 Y 0.315 0.467 0.212 1
Y3 Y 0.467 0.212 0.315 1
Y4 Y 0.533 0.788 0.685 1
Y5 Y 0.685 0.533 0.788 1
Y6 Y 0.788 0.685 0.533 1
Th1 Th 0.000 0.000 0.000 1
```

Values from the calculation:
- Calculated formation energy: 27.5 meV/atom
- Total moment: 0.00 μB/cell

(5)
First-principles (GGA-PBE) data for a geometry-optimized CePmY14 structure, as listed in Alexandria.

Geometry as CIF:
```
data_CePmY14
_chemical_formula_sum 'Ce1 Pm1 Y14'
_cell_length_a 7.166
_cell_length_b 7.166
_cell_length_c 10.117
_cell_angle_alpha 90.00
_cell_angle_beta 90.00
_cell_angle_gamma 90.00
_space_group_name_H-M_alt 'P 1'
_space_group_IT_number 1
_space_group_name_Hall 'P 1'
loop_
_atom_site_label
_atom_site_type_symbol
_atom_site_fract_x
_atom_site_fract_y
_atom_site_fract_z
_atom_site_occupancy
Ce1 Ce 0.000 0.000 0.000 1
Pm1 Pm 0.500 0.500 0.000 1
Y1 Y 0.000 0.000 0.500 1
Y2 Y 0.000 0.500 0.000 1
Y3 Y 0.000 0.500 0.500 1
Y4 Y 0.249 0.249 0.250 1
Y5 Y 0.249 0.249 0.750 1
Y6 Y 0.249 0.751 0.250 1
Y7 Y 0.249 0.751 0.750 1
Y8 Y 0.500 0.000 0.000 1
Y9 Y 0.500 0.000 0.500 1
Y10 Y 0.500 0.500 0.500 1
Y11 Y 0.751 0.249 0.250 1
Y12 Y 0.751 0.249 0.750 1
Y13 Y 0.751 0.751 0.250 1
Y14 Y 0.751 0.751 0.750 1
```

Values from the calculation:
- Calculated formation energy: 35.4 meV/atom
- Total moment: 1.02 μB/cell

(6)
First-principles (GGA-PBE) data for a geometry-optimized CsLiPa2S5 structure, as listed in Alexandria.

Geometry as CIF:
```
data_CsLiPa2S5
_chemical_formula_sum 'Cs2 Li2 Pa4 S10'
_cell_length_a 9.095
_cell_length_b 9.095
_cell_length_c 9.095
_cell_angle_alpha 130.08
_cell_angle_beta 130.08
_cell_angle_gamma 73.29
_space_group_name_H-M_alt 'P 1'
_space_group_IT_number 1
_space_group_name_Hall 'P 1'
loop_
_atom_site_label
_atom_site_type_symbol
_atom_site_fract_x
_atom_site_fract_y
_atom_site_fract_z
_atom_site_occupancy
Cs1 Cs 0.250 0.250 0.000 1
Cs2 Cs 0.750 0.750 0.000 1
Li1 Li 0.250 0.750 0.500 1
Li2 Li 0.750 0.250 0.500 1
Pa1 Pa 0.162 0.662 0.824 1
Pa2 Pa 0.338 0.162 0.500 1
Pa3 Pa 0.662 0.838 0.500 1
Pa4 Pa 0.838 0.338 0.176 1
S1 S 0.000 0.000 0.000 1
S2 S 0.025 0.241 0.500 1
S3 S 0.241 0.741 0.216 1
S4 S 0.259 0.475 0.500 1
S5 S 0.475 0.975 0.216 1
S6 S 0.500 0.500 0.000 1
S7 S 0.525 0.025 0.784 1
S8 S 0.741 0.525 0.500 1
S9 S 0.759 0.259 0.784 1
S10 S 0.975 0.759 0.500 1
```

Values from the calculation:
- Total moment: 3.93 μB/cell
- Formation energy from raw total energies: -36.35 kcal/mol of atoms

Which formula does entry 6 have?
CsLiPa2S5